Record 1
A relaxed Sr2Ge4PdRh3 crystal, computed with GGA-PBE.

Calculated formation energy (eV/atom): -0.70

a b c (Å): 4.3906 4.3906 10.0909
angles (deg): 90.00 90.00 90.00
With the nearest neighbours (Å) after each atom.
Space group P-4m2 (No. 115)
Asymmetric unit:
Sr 0.0000 0.5000 0.2478 x2  8 Ge 3.33-3.35, 6 Rh 3.35-3.36, 2 Pd 3.36
Ge 0.0000 0.0000 0.0000 x1  4 Rh 2.52
Ge 0.0000 0.5000 0.6270 x2  3 Rh 2.52-2.54, 2 Pd 2.54
Ge 0.5000 0.5000 0.0000 x1  4 Rh 2.52
Pd 0.0000 0.0000 0.5000 x1  4 Ge 2.54
Rh 0.0000 0.5000 0.8768 x2  5 Ge 2.52
Rh 0.5000 0.5000 0.5000 x1  4 Ge 2.54

Record 2
A relaxed TbGe2PdRh2 crystal, computed with GGA-PBE.

Calculated formation energy (eV/atom): -0.18

a b c (Å): 4.6137 4.6137 5.5161
angles (deg): 90.00 90.00 90.00
With the nearest neighbours (Å) after each atom.
Space group P4/mmm (No. 123)
Asymmetric unit:
Tb 0.0000 0.0000 0.0000 x1  2 Pd 2.76
Ge 0.0000 0.5000 0.5000 x2  2 Pd 2.31
Pd 0.0000 0.0000 0.5000 x1  4 Ge 2.31
Rh 0.5000 0.5000 0.2428 x2  2 Rh 2.68-2.84, 4 Ge 2.71

Record 3
A relaxed TbGe2PdRh crystal, computed with GGA-PBE.

Calculated formation energy (eV/atom): -0.81

a b c (Å): 4.1691 4.1691 10.4181
angles (deg): 90.00 90.00 90.00
With the nearest neighbours (Å) after each atom.
Space group I-4m2 (No. 119)
Asymmetric unit:
Tb 0.0000 0.0000 0.0000 x2  8 Ge 3.19, 4 Rh 3.34, 4 Pd 3.34
Ge 0.0000 0.0000 0.3821 x4  1 Ge 2.46, 2 Rh 2.50, 2 Pd 2.50
Pd 0.0000 0.5000 0.7500 x2  4 Ge 2.50
Rh 0.0000 0.5000 0.2500 x2  4 Ge 2.50

Record 4
A relaxed TcGe2PdRh crystal, computed with GGA-PBE.

Calculated formation energy (eV/atom): 1.17

a b c (Å): 4.5832 4.5832 5.0710
angles (deg): 90.00 90.00 90.00
With the nearest neighbours (Å) after each atom.
Space group P4/mmm (No. 123)
Asymmetric unit:
Tc 0.0000 0.0000 0.0000 x1  2 Pd 2.54
Ge 0.0000 0.5000 0.5000 x2  2 Pd 2.29
Pd 0.0000 0.0000 0.5000 x1  4 Ge 2.29, 2 Tc 2.54
Rh 0.5000 0.5000 0.0000 x1  4 Tc 3.24, 8 Ge 3.42

Record 5
A relaxed Ge2TePdRh crystal, computed with GGA-PBE.

Formation energy without anion corrections (eV per atom): 0.61

a b c (Å): 4.6701 4.6701 5.3945
angles (deg): 90.00 90.00 90.00
With the nearest neighbours (Å) after each atom.
Space group P4/mmm (No. 123)
Asymmetric unit:
Ge 0.0000 0.5000 0.0000 x2  2 Pd 2.34
Te 0.0000 0.0000 0.5000 x1  2 Pd 2.70
Pd 0.0000 0.0000 0.0000 x1  4 Ge 2.34
Rh 0.5000 0.5000 0.5000 x1  4 Te 3.30, 8 Ge 3.57

Record 6
A relaxed Th2Ge3PdRh4 crystal, computed with GGA-PBE.

Calculated formation energy (eV/atom): -0.84

a b c (Å): 4.0549 4.0549 11.3768
angles (deg): 90.00 90.00 90.00
With the nearest neighbours (Å) after each atom.
Space group P-4m2 (No. 115)
Asymmetric unit:
Th 0.0000 0.5000 0.2360 x2  4 Rh 2.98, 4 Ge 3.30
Ge 0.0000 0.0000 0.0000 x1  4 Rh 2.76, 4 Pd 2.87
Ge 0.0000 0.5000 0.6211 x2  5 Rh 2.43-2.45
Pd 0.5000 0.5000 0.0000 x1  4 Rh 2.76, 4 Ge 2.87
Rh 0.0000 0.0000 0.5000 x1  4 Ge 2.45
Rh 0.0000 0.5000 0.8348 x2  1 Ge 2.43
Rh 0.5000 0.5000 0.5000 x1  4 Ge 2.45

Record 7
A relaxed Th2Ge4Pd3Rh crystal, computed with GGA-PBE.

Calculated formation energy (eV/atom): -0.81

a b c (Å): 4.3297 4.3297 10.1779
angles (deg): 90.00 90.00 90.00
With the nearest neighbours (Å) after each atom.
Space group P-4m2 (No. 115)
Asymmetric unit:
Th 0.0000 0.5000 0.2446 x2  8 Ge 3.27-3.38, 2 Rh 3.30, 6 Pd 3.30-3.33
Ge 0.0000 0.0000 0.5000 x1  4 Pd 2.52
Ge 0.0000 0.5000 0.8691 x2  3 Pd 2.46-2.54, 2 Rh 2.54
Ge 0.5000 0.5000 0.5000 x1  4 Pd 2.52
Pd 0.0000 0.0000 0.0000 x1  4 Ge 2.54
Pd 0.0000 0.5000 0.6273 x2  5 Ge 2.46-2.52
Rh 0.5000 0.5000 0.0000 x1  4 Ge 2.54

Record 8
A relaxed ThGe2PdRh2 crystal, computed with GGA-PBE.

Calculated formation energy (eV/atom): -0.18

a b c (Å): 4.6219 4.6219 5.5844
angles (deg): 90.00 90.00 90.00
With the nearest neighbours (Å) after each atom.
Space group P4/mmm (No. 123)
Asymmetric unit:
Th 0.0000 0.0000 0.0000 x1  2 Pd 2.79
Ge 0.0000 0.5000 0.5000 x2  2 Pd 2.31
Pd 0.0000 0.0000 0.5000 x1  4 Ge 2.31
Rh 0.5000 0.5000 0.2437 x2  4 Ge 2.72, 2 Rh 2.72-2.86

Record 9
A relaxed Th4Ge3PdRh12 crystal, computed with GGA-PBE.

Calculated formation energy (eV/atom): -0.26

a b c (Å): 9.2659 9.2659 9.2659
angles (deg): 90.00 90.00 90.00
With the nearest neighbours (Å) after each atom.
Space group Im-3m (No. 229)
Asymmetric unit:
Th 0.2500 0.2500 0.2500 x8  12 Rh 3.28
Ge 0.0000 0.0000 0.5000 x6  6 Rh 2.22-2.32
Pd 0.0000 0.0000 0.0000 x2  6 Rh 2.42
Rh 0.0000 0.0000 0.2607 x12  1 Ge 2.22, 1 Pd 2.42
Rh 0.0000 0.2500 0.5000 x12  2 Ge 2.32

Record 10
A relaxed VGePdRh crystal, computed with GGA-PBE.

Calculated formation energy (eV/atom): -0.26

a b c (Å): 6.1600 6.1600 6.1600
angles (deg): 90.00 90.00 90.00
With the nearest neighbours (Å) after each atom.
Space group F-43m (No. 216)
Asymmetric unit:
V 0.0000 0.0000 0.0000 x4  4 Rh 2.67, 4 Pd 2.67
Ge 0.0000 0.0000 0.5000 x4  4 Pd 2.67, 4 Rh 2.67
Pd 0.2500 0.2500 0.2500 x4  4 Ge 2.67, 4 V 2.67
Rh 0.2500 0.2500 0.7500 x4  4 Ge 2.67, 4 V 2.67

Record 11
A relaxed Y2Ge4PdRh3 crystal, computed with GGA-PBE.

Calculated formation energy (eV/atom): -0.83

a b c (Å): 4.1956 4.1956 10.2720
angles (deg): 90.00 90.00 90.00
With the nearest neighbours (Å) after each atom.
Space group P-4m2 (No. 115)
Asymmetric unit:
Y 0.0000 0.5000 0.2411 x2  6 Rh 3.18-3.39, 8 Ge 3.22-3.25, 2 Pd 3.39
Ge 0.0000 0.0000 0.0000 x1  4 Rh 2.48
Ge 0.0000 0.5000 0.6370 x2  3 Rh 2.41-2.53, 2 Pd 2.53
Ge 0.5000 0.5000 0.0000 x1  4 Rh 2.48
Pd 0.0000 0.0000 0.5000 x1  4 Ge 2.53
Rh 0.0000 0.5000 0.8717 x2  5 Ge 2.41-2.48
Rh 0.5000 0.5000 0.5000 x1  4 Ge 2.53

Record 12
A relaxed Y2Ge4Pd3Rh crystal, computed with GGA-PBE.

Calculated formation energy (eV/atom): -0.79

a b c (Å): 4.1943 4.1943 10.5063
angles (deg): 90.00 90.00 90.00
With the nearest neighbours (Å) after each atom.
Space group P-4m2 (No. 115)
Asymmetric unit:
Y 0.0000 0.5000 0.2491 x2  6 Pd 3.20-3.35, 8 Ge 3.21-3.37, 2 Rh 3.35
Ge 0.0000 0.0000 0.5000 x1  4 Pd 2.55
Ge 0.0000 0.5000 0.8689 x2  3 Pd 2.43-2.51, 2 Rh 2.51
Ge 0.5000 0.5000 0.5000 x1  4 Pd 2.55
Pd 0.0000 0.0000 0.0000 x1  4 Ge 2.51
Pd 0.0000 0.5000 0.6378 x2  5 Ge 2.43-2.55
Rh 0.5000 0.5000 0.0000 x1  4 Ge 2.51